Model a:
Entry from the Alexandria database: a crystal of La2MgP relaxed with PBEsol (meta-GGA SCAN).

Summary:
Magnetization (μB/cell): 1.90

Cell: 4.0172 4.0172 17.7553 Å, 90.00 90.00 120.00°
With the nearest neighbours (Å) after each atom.
Space group P6_3/mmc (No. 194)
One atom of each set of equivalent atoms:
La: 0.3333 0.6667 0.0952  3 P 2.87
Mg: 0.3333 0.6667 0.7500  6 La 3.60, 6 Mg 4.02
P: 0.0000 0.0000 0.0000  6 La 2.87

Model b:
Entry from the Alexandria database: a crystal of La2MgP relaxed with PBEsol (meta-GGA SCAN).

Summary:
Magnetization (μB/cell): 0.00

Cell: 3.7824 3.7824 7.2424 Å, 90.00 90.00 90.00°
With the nearest neighbours (Å) after each atom.
Space group P4/mmm (No. 123)
One atom of each set of equivalent atoms:
La: 0.0000 0.0000 0.2145  4 P 3.09, 1 La 3.11, 4 Mg 3.38
Mg: 0.5000 0.5000 0.5000  8 La 3.38, 2 P 3.62, 4 Mg 3.78
P: 0.5000 0.5000 0.0000  8 La 3.09

Most stable: model a. Least stable: model b.

Model a:
Entry from the Alexandria database: a crystal of La2MgP relaxed with PBEsol (meta-GGA SCAN).

Summary:
Magnetization (μB/cell): 0.86

Cell: 4.3642 4.3642 6.1625 Å, 90.00 90.00 90.00°
With the nearest neighbours (Å) after each atom.
Space group P4mm (No. 99)
One atom of each set of equivalent atoms:
La: 0.0000 0.0000 0.0000  2 Mg 3.07-3.09, 4 P 3.09
La: 0.5000 0.5000 0.4939  2 P 3.07-3.09, 4 Mg 3.09
Mg: 0.0000 0.0000 0.5019  6 La 3.07-3.09
P: 0.5000 0.5000 0.9959  6 La 3.07-3.09

Model b:
Entry from the Alexandria database: a crystal of La2MgP relaxed with PBEsol (meta-GGA SCAN).

Summary:
Magnetization (μB/cell): 0.00

Cell: 3.5367 3.5367 8.3556 Å, 90.00 90.00 90.00°
With the nearest neighbours (Å) after each atom.
Space group P4mm (No. 99)
One atom of each set of equivalent atoms:
La: 0.0000 0.0000 0.0000  1 Mg 3.02, 4 P 3.08
La: 0.5000 0.5000 0.3652  4 Mg 3.39, 1 P 3.50, 4 La 3.54
Mg: 0.0000 0.0000 0.6388  4 P 2.78, 1 La 3.02
P: 0.5000 0.5000 0.7842  4 Mg 2.78, 4 La 3.08

Most stable: model a. Least stable: model b.